The following is a DFT calculation (GGA-PBE) of a relaxed K3YPa3Te8 crystal.

Output
The total DFT energy (no corrections) is -78.87 eV per cell. The symmetry is No. 166. As for the formation energy without anion corrections: -1033 meV per atom. The mass density is 5.59 Mg/m³. Its magnetic moment is 5.0 μB per formula unit. The density of states at the Fermi level is 20.2 states/eV/cell.

abc: 9.9421 9.9421 9.9421
angles: 52.40 52.40 52.40
Element x y z (fractional)
K 0.0000 0.5000 0.5000
K 0.5000 0.0000 0.5000
K 0.5000 0.5000 0.0000
Y 0.5000 0.5000 0.5000
Pa 0.0000 0.0000 0.5000
Pa 0.0000 0.5000 0.0000
Pa 0.5000 0.0000 0.0000
Te 0.2356 0.7376 0.7376
Te 0.2384 0.2384 0.2384
Te 0.2624 0.2624 0.7644
Te 0.2624 0.7644 0.2624
Te 0.7376 0.2356 0.7376
Te 0.7376 0.7376 0.2356
Te 0.7616 0.7616 0.7616
Te 0.7644 0.2624 0.2624